Crystalline Pa3Si7Os2 at its relaxed geometry, computed with GGA-PBE.

electronic total energy: -7.992 eV/atom
D(E_F): 0.5469 states/eV per atom
formation energy without anion corrections: -583 meV per atom
excess energy over the best structure of this formula in the dataset: 0.00 eV per formula unit

abc: 4.1189 4.1512 12.6610
angles: 98.42 90.00 90.00
Fractional positions:
Si  0.0000  0.0000  0.0000
Si  0.0000  0.6328  0.1684
Si  0.5000  0.2688  0.5493
Si  0.5000  0.0732  0.1669
Si  0.5000  0.7312  0.4507
Si  0.5000  0.9268  0.8331
Si  0.0000  0.3672  0.8316
Pa  0.0000  0.1999  0.3660
Pa  0.0000  0.8001  0.6340
Pa  0.5000  0.5000  0.0000
Os  0.5000  0.6072  0.2616
Os  0.5000  0.3928  0.7384